Here is a relaxed ErZnCd crystal from the Alexandria database. Energies are from PBE.

Cell lengths 4.713, 4.713, 3.431 Å; angles 90.00, 90.00, 120.00 degrees
Fractional coordinates of all 3 atoms:
Er: 0.000 0.000 0.000
Zn: 0.667 0.333 0.500
Cd: 0.333 0.667 0.500

## Properties
- formation enthalpy at 0 K (meV per atom) = -309
- total moment (μB/f.u.) = 0.00
- DFT total energy (eV per atom) = -2.560